This record from Alexandria describes a crystal of AlIn3Cl relaxed with PBEsol. The functional is meta-GGA SCAN.

abc: 5.435 5.435 5.435
angles: 90.00 90.00 90.00
Fractional coordinates of all 5 atoms:
Cl (0.000, 0.000, 0.000)
Al (0.500, 0.500, 0.500)
In (0.000, 0.500, 0.000)
In (0.000, 0.000, 0.500)
In (0.500, 0.000, 0.000)

Values from the calculation:
Its space-group type is Pm-3m, No. 221. For the calculated total energy, the calculation gives -22.748 eV per atom. Its raw formation energy is 2.15 eV per formula unit.